# 1
# ReBPt (GGA-PBE, relaxed)
data_ReBPt
_cell_length_a 3.649
_cell_length_b 3.649
_cell_length_c 7.248
_cell_angle_alpha 75.42
_cell_angle_beta 75.42
_cell_angle_gamma 60.00
_symmetry_space_group_name_H-M 'P 1'
_symmetry_Int_Tables_number 1
loop_
_symmetry_equiv_pos_as_xyz
'x,y,z'
loop_
_atom_site_label
_atom_site_fract_x
_atom_site_fract_y
_atom_site_fract_z
Pt1 0.124 0.124 0.629
B1 0.742 0.742 0.775
Pt2 0.876 0.876 0.371
Re1 0.630 0.630 0.110
B2 0.258 0.258 0.225
Re2 0.370 0.370 0.890
# E_tot   -8.2784 eV per atom
# SG   R-3m (166)
# Calculated density   16.3 g/cm³
# Energy relative to the elements   110.4 meV/atom
# Magnetic moment   0.00 μB per cell

=====

# 2
# CsCd2AsPd (GGA-PBE, relaxed)
data_CsCd2AsPd
_cell_length_a 5.367
_cell_length_b 5.367
_cell_length_c 5.064
_cell_angle_alpha 90.00
_cell_angle_beta 90.00
_cell_angle_gamma 90.00
_symmetry_space_group_name_H-M 'P 1'
_symmetry_Int_Tables_number 1
loop_
_symmetry_equiv_pos_as_xyz
'x,y,z'
loop_
_atom_site_label
_atom_site_fract_x
_atom_site_fract_y
_atom_site_fract_z
Cd1 0.000 0.500 0.000
As1 0.000 0.000 0.500
Cd2 0.500 0.000 0.000
Cs1 0.500 0.500 0.500
Pd1 0.000 0.000 0.000
# E_tot   -2.6022 eV per atom
# SG   P4/mmm (123)
# Calculated density   6.1 g/cm³
# Energy relative to the elements   -96.9 meV/atom
# Magnetic moment   0.00 μB per cell